Material: BaV2F
Method: DFT, GGA+U
State: relaxed

Summary:
ΔE to the lowest computed polymorph	0.000	eV per atom
symmetry	No. 141
M_tot	14.2	μB per cell

Cell and atoms, written as extended XYZ:
```
8
Lattice="7.0348 0.0000 0.0000 0.0000 7.0348 0.0000 3.5174 3.5174 4.6145" Properties=species:S:1:pos:R:3 pbc="T T T"
V 3.5172 1.7587 1.1536
V 3.5176 5.2761 1.1536
V 5.2761 7.0350 3.4609
V 8.7935 7.0346 3.4609
Ba 0.0000 0.0000 0.0000
Ba 7.0348 3.5174 2.3072
F 3.5174 3.5174 0.0000
F 3.5174 7.0348 2.3072
```